[1]
# SrTl2RhI (PBE-GGA, optimized geometry)
# Crystal system: tetragonal
# Magnetic moment: 0.0 μB per formula unit
# E_form (uncorrected): -0.530 eV/atom
data_SrTl2RhI
_chemical_formula_sum 'Sr1 Tl2 Rh1 I1'
_cell_length_a 5.3046
_cell_length_b 5.3046
_cell_length_c 5.8557
_cell_angle_alpha 90.00
_cell_angle_beta 90.00
_cell_angle_gamma 90.00
_symmetry_space_group_name_H-M 'P 4/m m m'
_symmetry_Int_Tables_number 123
_symmetry_space_group_name_Hall '-P 4 2'
loop_
_atom_site_label
_atom_site_type_symbol
_atom_site_fract_x
_atom_site_fract_y
_atom_site_fract_z
_atom_site_occupancy
Sr1 Sr 0.0000 0.0000 0.0000 1
Tl1 Tl 0.0000 0.5000 0.5000 1
Rh1 Rh 0.0000 0.0000 0.5000 1
I1 I 0.5000 0.5000 0.0000 1

[2]
# AlCd2In (PBE-GGA, optimized geometry)
# Crystal system: tetragonal
# Magnetic moment: 0.0 μB per formula unit
# Calculated formation energy: 0.1607 eV per atom
data_AlCd2In
_chemical_formula_sum 'Al4 Cd8 In4'
_cell_length_a 4.3375
_cell_length_b 4.3375
_cell_length_c 20.2846
_cell_angle_alpha 90.00
_cell_angle_beta 90.00
_cell_angle_gamma 90.00
_symmetry_space_group_name_H-M 'I -4 2 d'
_symmetry_Int_Tables_number 122
_symmetry_space_group_name_Hall 'I -4 2bw'
loop_
_atom_site_label
_atom_site_type_symbol
_atom_site_fract_x
_atom_site_fract_y
_atom_site_fract_z
_atom_site_occupancy
Al1 Al 0.0000 0.0000 0.0000 1
Cd1 Cd 0.2370 0.2500 0.1250 1
In1 In 0.0000 0.0000 0.5000 1

[3]
# CeZnIn2 (PBE-GGA, optimized geometry)
# Crystal system: tetragonal
# Magnetic moment: 0.9 μB per formula unit
# Calculated formation energy: -0.2928 eV per atom
data_CeZnIn2
_chemical_formula_sum 'Ce1 Zn1 In2'
_cell_length_a 4.5786
_cell_length_b 4.5786
_cell_length_c 4.6290
_cell_angle_alpha 90.00
_cell_angle_beta 90.00
_cell_angle_gamma 90.00
_symmetry_space_group_name_H-M 'P 4/m m m'
_symmetry_Int_Tables_number 123
_symmetry_space_group_name_Hall '-P 4 2'
loop_
_atom_site_label
_atom_site_type_symbol
_atom_site_fract_x
_atom_site_fract_y
_atom_site_fract_z
_atom_site_occupancy
Ce1 Ce 0.0000 0.0000 0.0000 1
Zn1 Zn 0.5000 0.5000 0.0000 1
In1 In 0.0000 0.5000 0.5000 1

[4]
# PuTlSb2 (PBE-GGA, optimized geometry)
# Crystal system: tetragonal
# Magnetic moment: 5.6 μB per formula unit
# E_form (uncorrected): -0.313 eV/atom
data_PuTlSb2
_chemical_formula_sum 'Pu1 Tl1 Sb2'
_cell_length_a 4.1491
_cell_length_b 4.1491
_cell_length_c 6.6044
_cell_angle_alpha 90.00
_cell_angle_beta 90.00
_cell_angle_gamma 90.00
_symmetry_space_group_name_H-M 'P 4/m m m'
_symmetry_Int_Tables_number 123
_symmetry_space_group_name_Hall '-P 4 2'
loop_
_atom_site_label
_atom_site_type_symbol
_atom_site_fract_x
_atom_site_fract_y
_atom_site_fract_z
_atom_site_occupancy
Pu1 Pu 0.0000 0.0000 0.0000 1
Tl1 Tl 0.0000 0.0000 0.5000 1
Sb1 Sb 0.5000 0.5000 0.2225 1

[5]
# Tm4CdTe (PBE-GGA, optimized geometry)
# Crystal system: monoclinic
# Magnetic moment: 0.0 μB per formula unit
# E_form (uncorrected): -0.225 eV/atom
data_Tm4CdTe
_chemical_formula_sum 'Tm8 Cd2 Te2'
_cell_length_a 5.8838
_cell_length_b 8.1733
_cell_length_c 8.0306
_cell_angle_alpha 90.00
_cell_angle_beta 107.87
_cell_angle_gamma 90.00
_symmetry_space_group_name_H-M 'P 1 21/m 1'
_symmetry_Int_Tables_number 11
loop_
_symmetry_equiv_pos_as_xyz
'x,y,z'
'-x,-y,-z'
'-x,y+1/2,-z'
'x,-y+1/2,z'
loop_
_atom_site_label
_atom_site_type_symbol
_atom_site_fract_x
_atom_site_fract_y
_atom_site_fract_z
_atom_site_occupancy
Tm1 Tm 0.0028 0.0519 0.2574 1
Tm2 Tm 0.3830 0.7500 0.5328 1
Tm3 Tm 0.4333 0.2500 0.0157 1
Cd1 Cd 0.1954 0.2500 0.5988 1
Te1 Te 0.1168 0.7500 0.0842 1

[6]
# Fe3MoC (PBE-GGA, optimized geometry)
# Crystal system: cubic
# Magnetic moment: 0.9 μB per formula unit
# Calculated formation energy: 0.1838 eV per atom
data_Fe3MoC
_chemical_formula_sum 'Fe3 Mo1 C1'
_cell_length_a 3.7643
_cell_length_b 3.7643
_cell_length_c 3.7643
_cell_angle_alpha 90.00
_cell_angle_beta 90.00
_cell_angle_gamma 90.00
_symmetry_space_group_name_H-M 'P m -3 m'
_symmetry_Int_Tables_number 221
_symmetry_space_group_name_Hall '-P 4 2 3'
loop_
_atom_site_label
_atom_site_type_symbol
_atom_site_fract_x
_atom_site_fract_y
_atom_site_fract_z
_atom_site_occupancy
Fe1 Fe 0.0000 0.0000 0.5000 1
Mo1 Mo 0.5000 0.5000 0.5000 1
C1 C 0.0000 0.0000 0.0000 1

- What is the magnetic moment in the third record?
  0.9 μB per formula unit